# 1
A plane-wave DFT calculation with SCAN was carried out for a PBEsol-optimized structure of ScBe3.

abc: 5.7753 9.2034 3.6486
angles: 90.00 90.00 90.00
Last column: nearest neighbours and their distance in Å.
Space group Cmcm (No. 63)
Inequivalent atoms, fractional coordinates:
Sc: 0.0000 0.1518 0.2500  12 Be 2.64-2.89
Be: 0.0000 0.3587 0.7500  6 Be 2.21-2.25
Be: 0.1861 0.4270 0.2500  6 Be 2.15-2.27

Properties
Calculated density ... 2466 kg/m3
V ... 12.12 Å³ per atom
Formation energy from the elements ... -0.01 eV per atom
E_tot ... -6.834 eV/atom


# 2
A plane-wave DFT calculation with SCAN was carried out for a PBEsol-optimized structure of ScPt2Au.

abc: 3.9531 3.9531 8.2482
angles: 90.00 90.00 90.00
Last column: nearest neighbours and their distance in Å.
Space group I-4m2 (No. 119)
Inequivalent atoms, fractional coordinates:
Sc: 0.0000 0.0000 0.0000  8 Pt 2.80-2.86, 4 Au 2.86
Pt: 0.0000 0.0000 0.5000  4 Sc 2.80, 4 Pt 2.86, 4 Au 2.86
Pt: 0.0000 0.5000 0.2500  4 Au 2.80, 4 Sc 2.86, 4 Pt 2.86
Au: 0.0000 0.5000 0.7500  8 Pt 2.80-2.86, 4 Sc 2.86

Properties
Calculated density ... 16286 kg/m3
V ... 16.11 Å³ per atom
Formation energy from the elements ... -0.97 eV per atom
E_tot ... -56.912 eV/atom


# 3
A plane-wave DFT calculation with SCAN was carried out for a PBEsol-optimized structure of Na2CaOsPd.

abc: 4.9452 4.9452 4.7217
angles: 90.00 90.00 90.00
Last column: nearest neighbours and their distance in Å.
Space group P4/mmm (No. 123)
Inequivalent atoms, fractional coordinates:
Na: 0.0000 0.5000 0.0000  2 Ca 2.47
Ca: 0.0000 0.0000 0.0000  2 Os 2.36, 4 Na 2.47
Os: 0.0000 0.0000 0.5000  2 Ca 2.36
Pd: 0.5000 0.5000 0.5000  8 Na 3.42, 4 Os 3.50

Properties
Calculated density ... 5504 kg/m3
V ... 23.09 Å³ per atom
Formation energy from the elements ... 1.63 eV per atom
E_tot ... -22.923 eV/atom


# 4
A plane-wave DFT calculation with SCAN was carried out for a PBEsol-optimized structure of TlAg2Sb2.

abc: 4.6538 4.6538 11.7508
angles: 90.00 90.00 90.00
Last column: nearest neighbours and their distance in Å.
Space group I4/mmm (No. 139)
Inequivalent atoms, fractional coordinates:
Tl: 0.0000 0.0000 0.0000  8 Sb 3.58, 8 Ag 3.75
Ag: 0.0000 0.5000 0.2500  4 Sb 2.79
Sb: 0.0000 0.0000 0.3803  4 Ag 2.79, 1 Sb 2.81

Properties
Calculated density ... 8660 kg/m3
Formation energy (no corrections) ... 0.037 eV/atom
V ... 25.45 Å³ per atom
Energy above the lowest structure with this stoichiometry ... 0.00 eV per formula unit
E_tot ... -41.886 eV/atom


# 5
A plane-wave DFT calculation with SCAN was carried out for a PBEsol-optimized structure of RbMn2BiTe.

abc: 5.0609 5.0609 6.2610
angles: 90.00 90.00 90.00
Last column: nearest neighbours and their distance in Å.
Space group P4/mmm (No. 123)
Inequivalent atoms, fractional coordinates:
Rb: 0.0000 0.0000 0.0000  4 Bi 3.58
Mn: 0.0000 0.5000 0.5000  2 Te 2.53
Bi: 0.5000 0.5000 0.0000  2 Te 3.13
Te: 0.5000 0.5000 0.5000  4 Mn 2.53

Properties
Calculated density ... 5508 kg/m3
Formation energy (no corrections) ... 0.417 eV/atom
V ... 32.07 Å³ per atom
E_tot ... -34.199 eV/atom


# 6
A plane-wave DFT calculation with SCAN was carried out for a PBEsol-optimized structure of KPt.

abc: 4.6406 5.5092 8.8246
angles: 90.00 90.00 90.00
Last column: nearest neighbours and their distance in Å.
Space group Imma (No. 74)
Inequivalent atoms, fractional coordinates:
K: 0.0000 0.2500 0.0975  5 Pt 3.24-3.56, 4 K 3.25-3.55
Pt: 0.0000 0.2500 0.7085  2 Pt 2.43

Properties
Calculated density ... 6894 kg/m3
V ... 28.20 Å³ per atom
Formation energy from the elements ... -0.12 eV per atom
E_tot ... -39.380 eV/atom


# 7
A plane-wave DFT calculation with SCAN was carried out for a PBEsol-optimized structure of CaHgSe2.

abc: 4.5044 4.5044 22.7529
angles: 90.00 90.00 120.00
Last column: nearest neighbours and their distance in Å.
Space group R-3m (No. 166, hexagonal axes)
Inequivalent atoms, fractional coordinates:
Ca: 0.0000 0.0000 0.0000  6 Se 2.94
Hg: 0.0000 0.0000 0.5000  2 Se 2.43
Se: 0.0000 0.0000 0.3932  1 Hg 2.43

Properties
Calculated density ... 4966 kg/m3
Formation energy (no corrections) ... -1.156 eV/atom
V ... 33.32 Å³ per atom
E_tot ... -30.652 eV/atom


# 8
A plane-wave DFT calculation with SCAN was carried out for a PBEsol-optimized structure of InMoPb.

abc: 6.6116 6.6116 6.6116
angles: 90.00 90.00 90.00
Last column: nearest neighbours and their distance in Å.
Space group F-43m (No. 216)
Inequivalent atoms, fractional coordinates:
In: 0.0000 0.0000 0.0000  4 Mo 2.86
Mo: 0.2500 0.2500 0.2500  4 Pb 2.86, 4 In 2.86
Pb: 0.0000 0.0000 0.5000  4 Mo 2.86

Properties
Calculated density ... 9606 kg/m3
V ... 24.08 Å³ per atom
Formation energy from the elements ... 0.68 eV per atom
E_tot ... -47.335 eV/atom